The following is a DFT calculation (GGA-PBE) of a relaxed structure of La6OsPb2.

Values from the calculation:
D(E_F) = 9.14 states/eV/f.u.
E_form = -347 meV/atom
Symmetry = No. 14
Total energy = -5.704 eV/atom
Distance to the lowest polymorph of the same formula = 40 meV/atom
Calculated volume = 614.7 Å³/cell

a = 6.850 Å, b = 10.062 Å, c = 10.307 Å
α = 90.00°, β = 120.09°, γ = 90.00°
Positions (direct):
La 0.106 0.139 0.467
La 0.106 0.361 0.967
La 0.318 0.741 0.443
La 0.318 0.759 0.943
La 0.327 0.033 0.197
La 0.327 0.467 0.697
La 0.673 0.533 0.303
La 0.673 0.967 0.803
La 0.682 0.241 0.057
La 0.682 0.259 0.557
La 0.894 0.639 0.033
La 0.894 0.861 0.533
Os 0.500 0.000 0.500
Os 0.500 0.500 0.000
Pb 0.185 0.091 0.815
Pb 0.185 0.409 0.315
Pb 0.815 0.591 0.685
Pb 0.815 0.909 0.185